No. 1
# MnZnPt2 (meta-GGA SCAN, PBEsol geometry)
data_MnZnPt2
_chemical_formula_sum 'Mn2 Zn2 Pt4'
_space_group_name_H-M_alt 'C 1 m 1'
_space_group_IT_number 8
_cell_length_a 9.2617
_cell_length_b 2.8450
_cell_length_c 4.4564
_cell_angle_alpha 90.00
_cell_angle_beta 106.05
_cell_angle_gamma 90.00
loop_
_space_group_symop_operation_xyz
'x,y,z'
'x,-y,z'
'x+1/2,y+1/2,z'
'x+1/2,-y+1/2,z'
loop_
_atom_site_label
_atom_site_type_symbol
_atom_site_fract_x
_atom_site_fract_y
_atom_site_fract_z
Mn1 Mn 0.0000 0.0000 0.0000
Zn1 Zn 0.2554 0.0000 0.6672
Pt1 Pt 0.0092 0.5000 0.5060
Pt2 Pt 0.2452 0.5000 0.1580
# crystal system: monoclinic
# energy relative to the elements: -0.5939 eV per atom

No. 2
# TaRhNF2 (meta-GGA SCAN, PBEsol geometry)
data_TaRhNF2
_chemical_formula_sum 'Ta1 Rh1 N1 F2'
_space_group_name_H-M_alt 'P 4/m m m'
_space_group_IT_number 123
_space_group_name_Hall '-P 4 2'
_cell_length_a 4.1691
_cell_length_b 4.1691
_cell_length_c 3.7159
_cell_angle_alpha 90.00
_cell_angle_beta 90.00
_cell_angle_gamma 90.00
loop_
_atom_site_label
_atom_site_type_symbol
_atom_site_fract_x
_atom_site_fract_y
_atom_site_fract_z
Ta1 Ta 0.0000 0.0000 0.0000
Rh1 Rh 0.5000 0.5000 0.5000
N1 N 0.5000 0.5000 0.0000
F1 F 0.0000 0.5000 0.5000
# crystal system: tetragonal
# ΔE_f (raw): 0.36 eV/atom

No. 3
# Cu2Si2Ge (meta-GGA SCAN, PBEsol geometry)
data_Cu2Si2Ge
_chemical_formula_sum 'Cu4 Si4 Ge2'
_space_group_name_H-M_alt 'I 4/m m m'
_space_group_IT_number 139
_space_group_name_Hall '-I 4 2'
_cell_length_a 3.5623
_cell_length_b 3.5623
_cell_length_c 11.3382
_cell_angle_alpha 90.00
_cell_angle_beta 90.00
_cell_angle_gamma 90.00
loop_
_atom_site_label
_atom_site_type_symbol
_atom_site_fract_x
_atom_site_fract_y
_atom_site_fract_z
Cu1 Cu 0.0000 0.0000 0.1062
Si1 Si 0.0000 0.5000 0.2500
Ge1 Ge 0.0000 0.0000 0.5000
# crystal system: tetragonal
# ΔE_f (raw): 0.28 eV/atom

No. 4
# BeOs2PtSe (meta-GGA SCAN, PBEsol geometry)
data_BeOs2PtSe
_chemical_formula_sum 'Be1 Os2 Pt1 Se1'
_space_group_name_H-M_alt 'P 4/m m m'
_space_group_IT_number 123
_space_group_name_Hall '-P 4 2'
_cell_length_a 4.5045
_cell_length_b 4.5045
_cell_length_c 3.9581
_cell_angle_alpha 90.00
_cell_angle_beta 90.00
_cell_angle_gamma 90.00
loop_
_atom_site_label
_atom_site_type_symbol
_atom_site_fract_x
_atom_site_fract_y
_atom_site_fract_z
Be1 Be 0.0000 0.0000 0.0000
Os1 Os 0.0000 0.5000 0.5000
Pt1 Pt 0.5000 0.5000 0.0000
Se1 Se 0.0000 0.0000 0.5000
# crystal system: tetragonal
# ΔE_f (raw): 1.53 eV/atom

No. 5
# ZrIn (meta-GGA SCAN, PBEsol geometry)
data_ZrIn
_chemical_formula_sum 'Zr1 In1'
_space_group_name_H-M_alt 'P 4/m m m'
_space_group_IT_number 123
_space_group_name_Hall '-P 4 2'
_cell_length_a 3.1144
_cell_length_b 3.1144
_cell_length_c 4.3606
_cell_angle_alpha 90.00
_cell_angle_beta 90.00
_cell_angle_gamma 90.00
loop_
_atom_site_label
_atom_site_type_symbol
_atom_site_fract_x
_atom_site_fract_y
_atom_site_fract_z
Zr1 Zr 0.0000 0.0000 0.0000
In1 In 0.5000 0.5000 0.5000
# crystal system: tetragonal
# energy relative to the elements: -0.4775 eV per atom

No. 6
# Ta2BeTl (meta-GGA SCAN, PBEsol geometry)
data_Ta2BeTl
_chemical_formula_sum 'Ta4 Be2 Tl2'
_space_group_name_H-M_alt 'I m m 2'
_space_group_IT_number 44
_cell_length_a 3.4131
_cell_length_b 4.5399
_cell_length_c 8.5312
_cell_angle_alpha 90.00
_cell_angle_beta 90.00
_cell_angle_gamma 90.00
loop_
_space_group_symop_operation_xyz
'x,y,z'
'-x,-y,z'
'-x,y,z'
'x,-y,z'
'x+1/2,y+1/2,z+1/2'
'-x+1/2,-y+1/2,z+1/2'
'-x+1/2,y+1/2,z+1/2'
'x+1/2,-y+1/2,z+1/2'
loop_
_atom_site_label
_atom_site_type_symbol
_atom_site_fract_x
_atom_site_fract_y
_atom_site_fract_z
Ta1 Ta 0.0000 0.0000 0.0000
Ta2 Ta 0.0000 0.5000 0.2298
Be1 Be 0.0000 0.0000 0.4976
Tl1 Tl 0.0000 0.5000 0.7778
# crystal system: orthorhombic
# E above lowest polymorph: 116.6 meV per atom
# energy relative to the elements: 0.4251 eV per atom

No. 7
# LiCd2Pb (meta-GGA SCAN, PBEsol geometry)
data_LiCd2Pb
_chemical_formula_sum 'Li2 Cd4 Pb2'
_space_group_name_H-M_alt 'I -4 m 2'
_space_group_IT_number 119
_space_group_name_Hall 'I -4 -2'
_cell_length_a 4.5060
_cell_length_b 4.5060
_cell_length_c 8.6305
_cell_angle_alpha 90.00
_cell_angle_beta 90.00
_cell_angle_gamma 90.00
loop_
_atom_site_label
_atom_site_type_symbol
_atom_site_fract_x
_atom_site_fract_y
_atom_site_fract_z
Li1 Li 0.0000 0.0000 0.0000
Cd1 Cd 0.0000 0.0000 0.5000
Cd2 Cd 0.0000 0.5000 0.2500
Pb1 Pb 0.0000 0.5000 0.7500
# crystal system: tetragonal
# energy relative to the elements: -0.1451 eV per atom

No. 8
# ReIr2Cl (meta-GGA SCAN, PBEsol geometry)
data_ReIr2Cl
_chemical_formula_sum 'Re2 Ir4 Cl2'
_space_group_name_H-M_alt 'I 4/m m m'
_space_group_IT_number 139
_space_group_name_Hall '-I 4 2'
_cell_length_a 4.0139
_cell_length_b 4.0139
_cell_length_c 7.2717
_cell_angle_alpha 90.00
_cell_angle_beta 90.00
_cell_angle_gamma 90.00
loop_
_atom_site_label
_atom_site_type_symbol
_atom_site_fract_x
_atom_site_fract_y
_atom_site_fract_z
Re1 Re 0.0000 0.0000 0.0000
Ir1 Ir 0.0000 0.5000 0.2500
Cl1 Cl 0.0000 0.0000 0.5000
# crystal system: tetragonal
# ΔE_f (raw): 1.12 eV/atom
# E above lowest polymorph: 767.9 meV per atom

No. 9
# Ba3SBr (meta-GGA SCAN, PBEsol geometry)
data_Ba3SBr
_chemical_formula_sum 'Ba3 S1 Br1'
_space_group_name_H-M_alt 'P m -3 m'
_space_group_IT_number 221
_space_group_name_Hall '-P 4 2 3'
_cell_length_a 5.9784
_cell_length_b 5.9784
_cell_length_c 5.9784
_cell_angle_alpha 90.00
_cell_angle_beta 90.00
_cell_angle_gamma 90.00
loop_
_atom_site_label
_atom_site_type_symbol
_atom_site_fract_x
_atom_site_fract_y
_atom_site_fract_z
Ba1 Ba 0.0000 0.0000 0.5000
S1 S 0.5000 0.5000 0.5000
Br1 Br 0.0000 0.0000 0.0000
# crystal system: cubic
# ΔE_f (raw): -0.68 eV/atom

No. 10
# Ba2TaMnO6 (meta-GGA SCAN, PBEsol geometry)
data_Ba2TaMnO6
_chemical_formula_sum 'Ba4 Ta2 Mn2 O12'
_space_group_name_H-M_alt 'I 4/m m m'
_space_group_IT_number 139
_space_group_name_Hall '-I 4 2'
_cell_length_a 5.5592
_cell_length_b 5.5592
_cell_length_c 8.6247
_cell_angle_alpha 90.00
_cell_angle_beta 90.00
_cell_angle_gamma 90.00
loop_
_atom_site_label
_atom_site_type_symbol
_atom_site_fract_x
_atom_site_fract_y
_atom_site_fract_z
Ba1 Ba 0.0000 0.5000 0.2500
Ta1 Ta 0.0000 0.0000 0.0000
Mn1 Mn 0.0000 0.0000 0.5000
O1 O 0.0000 0.0000 0.2288
O2 O 0.2446 0.2446 0.5000
# crystal system: tetragonal
# ΔE_f (raw): -3.01 eV/atom

No. 11
# FeMo2Cl (meta-GGA SCAN, PBEsol geometry)
data_FeMo2Cl
_chemical_formula_sum 'Fe2 Mo4 Cl2'
_space_group_name_H-M_alt 'C m m 2'
_space_group_IT_number 35
_cell_length_a 3.1344
_cell_length_b 4.6299
_cell_length_c 8.1523
_cell_angle_alpha 90.00
_cell_angle_beta 90.00
_cell_angle_gamma 90.00
loop_
_space_group_symop_operation_xyz
'x,y,z'
'-x,-y,z'
'-x,y,z'
'x,-y,z'
'x+1/2,y+1/2,z'
'-x+1/2,-y+1/2,z'
'-x+1/2,y+1/2,z'
'x+1/2,-y+1/2,z'
loop_
_atom_site_label
_atom_site_type_symbol
_atom_site_fract_x
_atom_site_fract_y
_atom_site_fract_z
Fe1 Fe 0.0000 0.0000 0.0000
Mo1 Mo 0.0000 0.0000 0.4944
Mo2 Mo 0.0000 0.5000 0.2412
Cl1 Cl 0.0000 0.5000 0.7635
# crystal system: orthorhombic
# ΔE_f (raw): 0.29 eV/atom
# E above lowest polymorph: 38.9 meV per atom

No. 12
# NiHgSb2 (meta-GGA SCAN, PBEsol geometry)
data_NiHgSb2
_chemical_formula_sum 'Ni2 Hg2 Sb4'
_space_group_name_H-M_alt 'C 1 2/m 1'
_space_group_IT_number 12
_cell_length_a 6.7006
_cell_length_b 3.8703
_cell_length_c 7.2976
_cell_angle_alpha 90.00
_cell_angle_beta 107.92
_cell_angle_gamma 90.00
loop_
_space_group_symop_operation_xyz
'x,y,z'
'-x,-y,-z'
'-x,y,-z'
'x,-y,z'
'x+1/2,y+1/2,z'
'-x+1/2,-y+1/2,-z'
'-x+1/2,y+1/2,-z'
'x+1/2,-y+1/2,z'
loop_
_atom_site_label
_atom_site_type_symbol
_atom_site_fract_x
_atom_site_fract_y
_atom_site_fract_z
Ni1 Ni 0.0000 0.0000 0.0000
Hg1 Hg 0.0000 0.5000 0.5000
Sb1 Sb 0.2253 0.5000 0.1743
# crystal system: monoclinic
# ΔE_f (raw): -0.10 eV/atom

| no. | DFT total energy (eV per atom) | theoretical density (kg/m³) |
| --- | --- | --- |
| 1 | -43.63 | 15024 |
| 2 | -22.99 | 8635 |
| 3 | -13.63 | 5907 |
| 4 | -46.15 | 13719 |
| 5 | -32.52 | 8089 |
| 6 | -52.04 | 14453 |
| 7 | -34.90 | 8319 |
| 8 | -54.20 | 17181 |
| 9 | -30.22 | 4072 |
| 10 | -23.15 | 7557 |
| 11 | -23.68 | 7949 |
| 12 | -39.81 | 9274 |